Entry 1:
DFT (GGA-PBE) results for TbHoBiN after structural relaxation.

a = 4.578 Å, b = 4.578 Å, c = 9.061 Å
α = 90.00°, β = 90.00°, γ = 90.00°
Fractional coordinates of all 8 atoms:
Tb 0.250 0.750 0.000
Tb 0.750 0.250 0.000
Ho 0.250 0.250 0.319
Ho 0.750 0.750 0.681
Bi 0.250 0.250 0.686
Bi 0.750 0.750 0.314
N 0.250 0.250 0.078
N 0.750 0.750 0.922

Output
Magnetization   0.000 μB per atom
E_form (uncorrected)   -1.250 eV per atom

Entry 2:
DFT (GGA-PBE) results for HoTh2Bi2N2 after structural relaxation.

a = 4.464 Å, b = 4.464 Å, c = 16.315 Å
α = 90.00°, β = 90.00°, γ = 90.00°
Fractional coordinates of all 14 atoms:
Ho 0.000 0.000 0.000
Ho 0.500 0.500 0.500
Th 0.000 0.000 0.400
Th 0.000 0.000 0.600
Th 0.500 0.500 0.100
Th 0.500 0.500 0.900
Bi 0.000 0.000 0.196
Bi 0.000 0.000 0.804
Bi 0.500 0.500 0.304
Bi 0.500 0.500 0.696
N 0.000 0.500 0.000
N 0.000 0.500 0.500
N 0.500 0.000 0.000
N 0.500 0.000 0.500

Output
Magnetization   0.000 μB per atom
E_form (uncorrected)   -0.900 eV per atom

Entry 3:
DFT (GGA-PBE) results for NaHoBi2 after structural relaxation.

a = 4.460 Å, b = 4.460 Å, c = 23.388 Å
α = 90.00°, β = 90.00°, γ = 120.00°
Fractional coordinates of all 12 atoms:
Na 0.000 0.000 0.000
Na 0.333 0.667 0.667
Na 0.667 0.333 0.333
Ho 0.000 0.000 0.500
Ho 0.333 0.667 0.167
Ho 0.667 0.333 0.833
Bi 0.000 0.000 0.243
Bi 0.000 0.000 0.757
Bi 0.333 0.667 0.424
Bi 0.333 0.667 0.910
Bi 0.667 0.333 0.090
Bi 0.667 0.333 0.576

Output
Polymorph energy (0 for the lowest one)   165 meV/atom
Magnetization   0.000 μB per atom
E_form   -1.2 eV per formula unit

Entry 4:
DFT (GGA-PBE) results for NaHoBi2 after structural relaxation.

a = 3.644 Å, b = 3.644 Å, c = 8.980 Å
α = 90.00°, β = 90.00°, γ = 90.00°
Fractional coordinates of all 4 atoms:
Na 0.000 0.000 0.000
Ho 0.000 0.000 0.500
Bi 0.500 0.500 0.261
Bi 0.500 0.500 0.739

Output
Polymorph energy (0 for the lowest one)   0 meV/atom
Magnetization   0.000 μB per atom
E_form   -1.9 eV per formula unit

Entry 5:
DFT (GGA-PBE) results for NaHoBi2 after structural relaxation.

a = 5.183 Å, b = 5.183 Å, c = 4.276 Å
α = 90.00°, β = 90.00°, γ = 90.00°
Fractional coordinates of all 4 atoms:
Na 0.000 0.000 0.000
Ho 0.500 0.500 0.000
Bi 0.000 0.500 0.500
Bi 0.500 0.000 0.500

Output
Polymorph energy (0 for the lowest one)   31 meV/atom
Magnetization   0.000 μB per atom
E_form   -1.8 eV per formula unit

Entry 6:
DFT (GGA-PBE) results for NaHoBi after structural relaxation.

a = 9.457 Å, b = 9.457 Å, c = 9.457 Å
α = 31.10°, β = 31.10°, γ = 31.10°
Fractional coordinates of all 6 atoms:
Na 0.204 0.204 0.204
Na 0.796 0.796 0.796
Ho 0.371 0.371 0.371
Ho 0.629 0.629 0.629
Bi 0.077 0.077 0.077
Bi 0.923 0.923 0.923

Output
Magnetization   0.000 μB per atom
E_form   -0.8 eV per formula unit